Density functional theory data (PBEsol) for a relaxed structure of ScIn4.

Properties
crystal system	tetragonal
size of the total moment	0.0	μB per formula unit
ΔH_f (0 K)	-1.0	eV/f.u.

a b c (Å): 7.3687 7.3687 4.2419
angles (deg): 90.00 90.00 90.00
With the nearest neighbours (Å) after each atom.
Positions (direct):
Sc  0.0000  0.0000  0.0000  12 In 3.15-3.26
Sc  0.5000  0.5000  0.5000  12 In 3.15-3.26
In  0.1057  0.7015  0.5000  9 In 3.09-3.35, 3 Sc 3.15-3.26
In  0.2015  0.3943  0.0000  9 In 3.09-3.35, 3 Sc 3.15-3.26
In  0.2985  0.1057  0.5000  9 In 3.09-3.35, 3 Sc 3.15-3.26
In  0.3943  0.7985  0.0000  9 In 3.09-3.35, 3 Sc 3.15-3.26
In  0.6057  0.2015  0.0000  9 In 3.09-3.35, 3 Sc 3.15-3.26
In  0.7015  0.8943  0.5000  9 In 3.09-3.35, 3 Sc 3.15-3.26
In  0.7985  0.6057  0.0000  9 In 3.09-3.35, 3 Sc 3.15-3.26
In  0.8943  0.2985  0.5000  9 In 3.09-3.35, 3 Sc 3.15-3.26